# 1
Compound: Nd12Tl3Cd
Source: the Alexandria database
Functional: PBE
Structure: optimized geometry

abc: 4.995 4.995 19.932
angles: 90.00 90.00 90.00
Sites, in units of the cell vectors:
Nd1 0.000 0.000 0.000
Nd2 0.000 0.000 0.248
Nd3 0.000 0.000 0.500
Nd4 0.000 0.000 0.752
Nd5 0.000 0.500 0.124
Nd6 0.000 0.500 0.375
Nd7 0.000 0.500 0.625
Nd8 0.000 0.500 0.876
Nd9 0.500 0.000 0.124
Nd10 0.500 0.000 0.375
Nd11 0.500 0.000 0.625
Nd12 0.500 0.000 0.876
Tl1 0.500 0.500 0.250
Tl2 0.500 0.500 0.500
Tl3 0.500 0.500 0.750
Cd1 0.500 0.500 0.000



# 2
Compound: NdTmTlCd
Source: the Alexandria database
Functional: PBE
Structure: optimized geometry

abc: 5.387 5.387 5.387
angles: 60.00 60.00 60.00
Sites, in units of the cell vectors:
Nd1 0.000 0.000 0.000
Tm1 0.500 0.500 0.500
Tl1 0.250 0.250 0.250
Cd1 0.750 0.750 0.750



# 3
Compound: NdTm2Tl2Cd2
Source: the Alexandria database
Functional: PBE
Structure: optimized geometry

abc: 9.157 9.157 9.157
angles: 31.92 31.92 31.92
Sites, in units of the cell vectors:
Nd1 0.000 0.000 0.000
Tm1 0.135 0.135 0.135
Tm2 0.865 0.865 0.865
Tl1 0.267 0.267 0.267
Tl2 0.733 0.733 0.733
Cd1 0.435 0.435 0.435
Cd2 0.565 0.565 0.565



# 4
Compound: NdY2Tl2Cd2
Source: the Alexandria database
Functional: PBE
Structure: optimized geometry

abc: 9.326 9.326 9.326
angles: 31.33 31.33 31.33
Sites, in units of the cell vectors:
Nd1 0.000 0.000 0.000
Y1 0.133 0.133 0.133
Y2 0.867 0.867 0.867
Tl1 0.268 0.268 0.268
Tl2 0.732 0.732 0.732
Cd1 0.430 0.430 0.430
Cd2 0.570 0.570 0.570



# 5
Compound: NdTmCd2
Source: the Alexandria database
Functional: PBE
Structure: optimized geometry

**Offset from the most stable computed form**: 0.000 eV per atom

abc: 3.717 3.717 7.799
angles: 90.00 90.00 90.00
Sites, in units of the cell vectors:
Nd1 0.000 0.000 0.000
Tm1 0.000 0.000 0.500
Cd1 0.500 0.500 0.270
Cd2 0.500 0.500 0.730



# 6
Compound: Nd4Tm5Cd2
Source: the Alexandria database
Functional: PBE
Structure: optimized geometry

abc: 8.609 3.494 11.306
angles: 90.00 93.92 90.00
Sites, in units of the cell vectors:
Nd1 0.146 0.000 0.383
Nd2 0.285 0.000 0.951
Nd3 0.715 0.000 0.049
Nd4 0.854 0.000 0.617
Tm1 0.204 0.500 0.669
Tm2 0.427 0.500 0.208
Tm3 0.500 0.500 0.500
Tm4 0.573 0.500 0.792
Tm5 0.796 0.500 0.331
Cd1 0.054 0.500 0.131
Cd2 0.946 0.500 0.869



# 7
Compound: Nd6Tm8Cd
Source: the Alexandria database
Functional: PBE
Structure: optimized geometry

abc: 9.463 9.463 6.253
angles: 90.00 90.00 120.00
Sites, in units of the cell vectors:
Nd1 0.090 0.636 0.193
Nd2 0.364 0.454 0.193
Nd3 0.454 0.090 0.807
Nd4 0.546 0.910 0.193
Nd5 0.636 0.546 0.807
Nd6 0.910 0.364 0.807
Tm1 0.041 0.781 0.694
Tm2 0.219 0.261 0.694
Tm3 0.261 0.041 0.306
Tm4 0.333 0.667 0.688
Tm5 0.667 0.333 0.312
Tm6 0.739 0.959 0.694
Tm7 0.781 0.739 0.306
Tm8 0.959 0.219 0.306
Cd1 0.000 0.000 0.000



# 8
Compound: Nd6Tm3Cd
Source: the Alexandria database
Functional: PBE
Structure: optimized geometry

abc: 11.125 5.106 11.372
angles: 90.00 91.80 90.00
Sites, in units of the cell vectors:
Nd1 0.047 0.250 0.394
Nd2 0.143 0.750 0.188
Nd3 0.154 0.250 0.692
Nd4 0.241 0.250 0.996
Nd5 0.348 0.750 0.799
Nd6 0.450 0.250 0.602
Nd7 0.550 0.750 0.398
Nd8 0.652 0.250 0.201
Nd9 0.759 0.750 0.004
Nd10 0.846 0.750 0.308
Nd11 0.857 0.250 0.812
Nd12 0.953 0.750 0.606
Tm1 0.249 0.750 0.493
Tm2 0.349 0.250 0.295
Tm3 0.450 0.750 0.100
Tm4 0.550 0.250 0.900
Tm5 0.651 0.750 0.705
Tm6 0.751 0.250 0.507
Cd1 0.050 0.750 0.898
Cd2 0.950 0.250 0.102



# 9
Compound: Nd2TmCd8
Source: the Alexandria database
Functional: PBE
Structure: optimized geometry

abc: 9.041 9.041 5.341
angles: 107.12 107.12 124.70
Sites, in units of the cell vectors:
Nd1 0.191 0.809 0.000
Nd2 0.809 0.191 0.000
Tm1 0.500 0.500 0.500
Cd1 0.010 0.010 0.258
Cd2 0.149 0.398 0.776
Cd3 0.304 0.696 0.500
Cd4 0.398 0.149 0.776
Cd5 0.602 0.851 0.224
Cd6 0.696 0.304 0.500
Cd7 0.851 0.602 0.224
Cd8 0.990 0.990 0.742



# 10
Compound: Nd4TmCd3
Source: the Alexandria database
Functional: PBE
Structure: optimized geometry

abc: 3.791 5.553 11.223
angles: 90.00 90.00 90.00
Sites, in units of the cell vectors:
Nd1 0.000 0.000 0.000
Nd2 0.000 0.000 0.500
Nd3 0.000 0.500 0.240
Nd4 0.000 0.500 0.760
Tm1 0.500 0.500 0.500
Cd1 0.500 0.000 0.254
Cd2 0.500 0.000 0.746
Cd3 0.500 0.500 0.000



# 11
Compound: NdTm3Cd6
Source: the Alexandria database
Functional: PBE
Structure: optimized geometry

abc: 9.138 5.182 11.089
angles: 90.00 106.37 90.00
Sites, in units of the cell vectors:
Nd1 0.059 0.250 0.388
Nd2 0.941 0.750 0.612
Tm1 0.241 0.250 0.999
Tm2 0.351 0.750 0.802
Tm3 0.469 0.250 0.606
Tm4 0.531 0.750 0.394
Tm5 0.649 0.250 0.198
Tm6 0.759 0.750 0.001
Cd1 0.055 0.750 0.909
Cd2 0.146 0.750 0.199
Cd3 0.163 0.250 0.699
Cd4 0.254 0.750 0.508
Cd5 0.354 0.250 0.292
Cd6 0.453 0.750 0.098
Cd7 0.547 0.250 0.902
Cd8 0.646 0.750 0.708
Cd9 0.746 0.250 0.492
Cd10 0.837 0.750 0.301
Cd11 0.854 0.250 0.801
Cd12 0.945 0.250 0.091



# 12
Compound: Nd14TmCd
Source: the Alexandria database
Functional: PBE
Structure: optimized geometry

abc: 10.333 7.236 7.236
angles: 90.00 90.00 90.00
Sites, in units of the cell vectors:
Nd1 0.000 0.000 0.000
Nd2 0.000 0.001 0.500
Nd3 0.000 0.500 0.001
Nd4 0.000 0.500 0.500
Nd5 0.255 0.249 0.249
Nd6 0.255 0.249 0.751
Nd7 0.255 0.751 0.249
Nd8 0.255 0.751 0.751
Nd9 0.500 0.000 0.501
Nd10 0.500 0.501 0.000
Nd11 0.745 0.249 0.249
Nd12 0.745 0.249 0.751
Nd13 0.745 0.751 0.249
Nd14 0.745 0.751 0.751
Tm1 0.500 0.500 0.500
Cd1 0.500 0.000 0.000



no.,E_form (eV per atom),DFT total energy (eV/atom)
1,-0.1846,-4.2613
2,-0.3295,-3.4597
3,-0.1610,-3.0572
4,-0.1799,-3.6454
5,-0.3117,-3.0791
6,0.0144,-3.9183
7,0.0818,-4.2711
8,-0.0194,-4.3131
9,-0.2294,-2.1683
10,-0.1954,-3.4814
11,-0.2742,-2.6415
12,-0.0141,-4.5226